# 1
# LaMg2In, optimized geometry, DFT GGA-PBE
data_LaMg2In
_chemical_formula_sum 'La1 Mg2 In1'
_symmetry_space_group_name_H-M 'P 1'
_symmetry_Int_Tables_number 1
_cell_length_a 5.3133
_cell_length_b 5.3134
_cell_length_c 5.3066
_cell_angle_alpha 120.01
_cell_angle_beta 119.99
_cell_angle_gamma 90.07
loop_
_symmetry_equiv_pos_as_xyz
'x,y,z'
loop_
_atom_site_label
_atom_site_type_symbol
_atom_site_fract_x
_atom_site_fract_y
_atom_site_fract_z
Mg1 Mg 0.0002 0.0002 0.0000
Mg2 Mg 0.2499 0.7499 0.5000
In1 In 0.4999 0.4999 0.0000
La1 La 0.7500 0.2500 0.5000
# density of states at the Fermi level	1.4	states/eV/f.u.
# calculated volume	105.9	Å³/cell
# ΔE_f	-0.275	eV per atom
# symmetry	I-4m2 (119)


# 2
# KPu2Br6, optimized geometry, DFT GGA-PBE
data_KPu2Br6
_chemical_formula_sum 'K2 Pu4 Br12'
_symmetry_space_group_name_H-M 'P 1'
_symmetry_Int_Tables_number 1
_cell_length_a 7.1867
_cell_length_b 7.1867
_cell_length_c 13.7098
_cell_angle_alpha 90.00
_cell_angle_beta 90.00
_cell_angle_gamma 90.00
loop_
_symmetry_equiv_pos_as_xyz
'x,y,z'
loop_
_atom_site_label
_atom_site_type_symbol
_atom_site_fract_x
_atom_site_fract_y
_atom_site_fract_z
Br1 Br 0.7903 0.2097 0.6837
Br2 Br 0.8174 0.1826 0.0000
Br3 Br 0.2903 0.2903 0.8163
Br4 Br 0.1826 0.8174 0.0000
Br5 Br 0.7097 0.7097 0.8163
Br6 Br 0.2903 0.2903 0.1837
Br7 Br 0.7903 0.2097 0.3163
Br8 Br 0.2097 0.7903 0.6837
Br9 Br 0.7097 0.7097 0.1837
Br10 Br 0.2097 0.7903 0.3163
Br11 Br 0.6826 0.6826 0.5000
Br12 Br 0.3174 0.3174 0.5000
K1 K 0.5000 0.5000 0.0000
K2 K 0.0000 0.0000 0.5000
Pu1 Pu 0.0000 0.0000 0.1667
Pu2 Pu 0.5000 0.5000 0.6667
Pu3 Pu 0.5000 0.5000 0.3333
Pu4 Pu 0.0000 0.0000 0.8333
# raw formation energy	-1.578	eV/atom
# density of states at the Fermi level	30.1	states/eV/f.u.
# calculated volume	708.1	Å³/cell
# symmetry	P4_2/mnm (136)
# offset from the most stable computed form	37	meV/atom


# 3
# AlAuBr2, optimized geometry, DFT GGA-PBE
data_AlAuBr2
_chemical_formula_sum 'Al1 Au1 Br2'
_symmetry_space_group_name_H-M 'P 1'
_symmetry_Int_Tables_number 1
_cell_length_a 6.9943
_cell_length_b 6.9943
_cell_length_c 6.9943
_cell_angle_alpha 36.23
_cell_angle_beta 36.23
_cell_angle_gamma 36.23
loop_
_symmetry_equiv_pos_as_xyz
'x,y,z'
loop_
_atom_site_label
_atom_site_type_symbol
_atom_site_fract_x
_atom_site_fract_y
_atom_site_fract_z
Al1 Al 0.2500 0.2500 0.2500
Br1 Br 0.4941 0.4941 0.4941
Br2 Br 0.0059 0.0059 0.0059
Au1 Au 0.7500 0.7500 0.7500
# raw formation energy	0.045	eV/atom
# density of states at the Fermi level	0.7	states/eV/f.u.
# calculated volume	106.9	Å³/cell
# symmetry	R-3m (166)
# offset from the most stable computed form	629	meV/atom


> Which of these has the lowest calculated volume?

LaMg2In